! BeTe2As GGA-PBE optimized geometry; values from VASP
! Crystal system: monoclinic
! Relative energy among the computed polymorphs: 390 meV/atom
! Fermi-level density of states: 2.2 states/eV per cell
! M_tot: 0.000 μB per cell
! Final energy: -3.2308 eV/atom
&SYSTEM
  ibrav = 0, nat = 4, ntyp = 3
/
ATOMIC_SPECIES
Be 9.01 Be.upf
Te 127.60 Te.upf
As 74.92 As.upf
CELL_PARAMETERS angstrom
3.844 -3.844 0.000
3.844 3.844 0.000
-0.256 0.000 3.544
ATOMIC_POSITIONS angstrom
Be 0.000 0.000 0.000
Te 1.922 1.922 0.000
Te 1.922 -1.922 0.000
As 3.844 0.000 0.000